# 1
DFT (GGA-PBE) results for a relaxed Zr2Tl2Cu2NiPd crystal.

Lattice parameters (Å, degrees): 4.574 4.574 6.555 90.00 90.00 90.00
Positions (direct):
Pd  0.500  0.500  0.000
Cu  0.500  0.500  0.500
Tl  0.500  0.000  0.256
Tl  0.000  0.500  0.744
Cu  0.000  0.000  0.000
Zr  0.500  0.000  0.740
Ni  0.000  0.000  0.500
Zr  0.000  0.500  0.260

Summary:
Calculated total energy, eV/atom: -5.20

***

# 2
DFT (GGA-PBE) results for a relaxed ErHf crystal.

Lattice parameters (Å, degrees): 4.307 4.307 4.307 60.00 60.00 60.00
Positions (direct):
Er  0.000  0.000  0.000
Hf  0.500  0.500  0.500

Summary:
Formation enthalpy at 0 K, eV per atom: 1.1548
Energy relative to the lowest polymorph listed for this composition, eV per atom: 1.023

***

# 3
DFT (GGA-PBE) results for a relaxed Li2HgAu crystal.

Lattice parameters (Å, degrees): 4.499 6.464 13.489 90.00 90.00 90.00
Positions (direct):
Li  0.500  0.750  0.000
Li  0.500  0.750  0.667
Hg  0.500  0.500  0.500
Hg  0.000  0.000  0.333
Li  0.000  0.750  0.833
Hg  0.000  0.000  0.000
Au  0.000  0.500  0.667
Li  0.000  0.250  0.500
Li  0.500  0.250  0.333
Hg  0.500  0.500  0.167
Au  0.500  0.000  0.833
Hg  0.500  0.500  0.833
Au  0.500  0.000  0.500
Li  0.500  0.250  0.667
Au  0.000  0.500  0.333
Li  0.000  0.750  0.500
Li  0.000  0.250  0.833
Au  0.000  0.500  0.000
Hg  0.000  0.000  0.667
Li  0.000  0.750  0.167
Li  0.500  0.750  0.333
Li  0.500  0.250  0.000
Au  0.500  0.000  0.167
Li  0.000  0.250  0.167

Summary:
Energy relative to the lowest polymorph listed for this composition, eV per atom: 0.001

***

# 4
DFT (GGA-PBE) results for a relaxed SbMo2C crystal.

Lattice parameters (Å, degrees): 3.247 3.247 13.144 90.00 90.00 120.00
Positions (direct):
Mo  0.333  0.667  0.081
Sb  0.333  0.667  0.750
Sb  0.667  0.333  0.250
Mo  0.667  0.333  0.581
C  0.000  0.000  0.000
C  0.000  0.000  0.500
Mo  0.667  0.333  0.919
Mo  0.333  0.667  0.419

Summary:
Calculated total energy, eV/atom: -8.68

***

# 5
DFT (GGA-PBE) results for a relaxed Hf4SbPN2 crystal.

Lattice parameters (Å, degrees): 3.388 3.388 12.628 90.00 90.00 120.00
Positions (direct):
Hf  0.667  0.333  0.138
Hf  0.000  0.000  0.327
N  0.333  0.667  0.234
Hf  0.667  0.333  0.862
P  0.000  0.000  0.000
Hf  0.000  0.000  0.673
Sb  0.667  0.333  0.500
N  0.333  0.667  0.766

Summary:
Calculated total energy, eV/atom: -9.47

***

# 6
DFT (GGA-PBE) results for a relaxed Hf2CuSi2 crystal.

Lattice parameters (Å, degrees): 7.227 7.227 7.227 151.73 151.73 40.40
Positions (direct):
Si  0.750  0.250  0.500
Si  0.250  0.750  0.500
Hf  0.398  0.398  0.000
Cu  0.000  0.000  0.000
Hf  0.602  0.602  0.000

Summary:
Calculated total energy, eV/atom: -6.97

***

# 7
DFT (GGA-PBE) results for a relaxed NaHgIrW crystal.

Lattice parameters (Å, degrees): 4.599 4.599 4.599 60.00 60.00 60.00
Positions (direct):
W  0.250  0.250  0.250
Hg  0.500  0.500  0.500
Ir  0.000  0.000  0.000
Na  0.750  0.750  0.750

Summary:
Energy relative to the lowest polymorph listed for this composition, eV per atom: 0.065

***

# 8
DFT (GGA-PBE) results for a relaxed Al2ZnTe2Se2 crystal.

Lattice parameters (Å, degrees): 7.013 7.013 5.864 113.83 113.83 108.73
Positions (direct):
Se  0.877  0.612  0.001
Al  0.508  0.492  0.000
Se  0.388  0.123  0.999
Zn  0.005  0.995  0.000
Te  0.593  0.861  0.494
Te  0.139  0.407  0.506
Al  0.740  0.260  0.500

Summary:
Energy relative to the lowest polymorph listed for this composition, eV per atom: 0.003